Below is a geometry-optimized TaSi2Mo structure, with properties calculated at the PBEsol level.

Geometry as CIF:
```
data_TaSi2Mo
_cell_length_a 3.347
_cell_length_b 4.561
_cell_length_c 7.706
_cell_angle_alpha 90.00
_cell_angle_beta 90.00
_cell_angle_gamma 90.00
_space_group_name_H-M_alt 'I m m m'
_space_group_IT_number 71
_space_group_name_Hall '-I 2 2'
loop_
_atom_site_label
_atom_site_fract_x
_atom_site_fract_y
_atom_site_fract_z
Ta1 0.000 0.000 0.000
Si1 0.000 0.500 0.246
Mo1 0.000 0.000 0.500
```

**ρ**: 9.4 Mg/m³
**V**: 118 Å³/cell
**Formation energy without anion corrections**: -0.195 eV per atom
**Total DFT energy (no corrections)**: -73.19 eV per cell

***

Below is a geometry-optimized La2Sc structure, with properties calculated at the PBEsol level.

Geometry as CIF:
```
data_La2Sc
_cell_length_a 6.1417
_cell_length_b 6.1417
_cell_length_c 16.7648
_cell_angle_alpha 90.00
_cell_angle_beta 90.00
_cell_angle_gamma 120.00
_space_group_name_H-M_alt 'R 3 2'
_space_group_IT_number 155
_space_group_name_Hall 'R 3 2"'
loop_
_atom_site_label
_atom_site_fract_x
_atom_site_fract_y
_atom_site_fract_z
La1 0.0000 0.0000 0.0000
La2 0.0000 0.3051 0.5000
Sc1 0.0000 0.0000 0.3284
```

**ρ**: 5.9 Mg/m³
**V**: 548 Å³/cell
**Total DFT energy (no corrections)**: -102.35 eV per cell

***

Below is a geometry-optimized CdB2Ir structure, with properties calculated at the PBEsol level.

Geometry as CIF:
```
data_CdB2Ir
_cell_length_a 5.084
_cell_length_b 5.084
_cell_length_c 9.688
_cell_angle_alpha 90.00
_cell_angle_beta 90.00
_cell_angle_gamma 90.00
_space_group_name_H-M_alt 'I -4 2 d'
_space_group_IT_number 122
_space_group_name_Hall 'I -4 2bw'
loop_
_atom_site_label
_atom_site_fract_x
_atom_site_fract_y
_atom_site_fract_z
Cd1 0.000 0.000 0.000
B1 0.180 0.250 0.625
Ir1 0.000 0.000 0.500
```

**ρ**: 8.7 Mg/m³
**V**: 250 Å³/cell
**Total DFT energy (no corrections)**: -90.51 eV per cell

***

Below is a geometry-optimized KLaSe4 structure, with properties calculated at the PBEsol level.

Geometry as CIF:
```
data_KLaSe4
_cell_length_a 8.342
_cell_length_b 8.342
_cell_length_c 8.342
_cell_angle_alpha 90.00
_cell_angle_beta 90.00
_cell_angle_gamma 90.00
_space_group_name_H-M_alt 'F -4 3 m'
_space_group_IT_number 216
_space_group_name_Hall 'F -4 2 3'
loop_
_atom_site_label
_atom_site_fract_x
_atom_site_fract_y
_atom_site_fract_z
K1 0.000 0.000 0.000
La1 0.250 0.250 0.250
Se1 0.125 0.125 0.625
```

**ρ**: 5.6 Mg/m³
**V**: 581 Å³/cell
**Formation energy without anion corrections**: -0.524 eV per atom
**Total DFT energy (no corrections)**: -100.09 eV per cell